DFT (SCAN) results for a PBEsol-optimized structure of InMo2PIr.

Lattice parameters (Å, degrees): 4.5191 4.8805 4.8805 90.00 90.00 90.00
With the nearest neighbours (Å) after each atom.
Atoms (fractional coordinates):
P: 0.5000 0.0000 0.0000  2 In 2.26
Mo: 0.0000 0.0000 0.5000  2 In 2.44
Mo: 0.0000 0.5000 0.0000  2 In 2.44
Ir: 0.5000 0.5000 0.5000  8 Mo 3.33, 4 P 3.45
In: 0.0000 0.0000 0.0000  2 P 2.26, 4 Mo 2.44

## Properties
total magnetic moment	5.00	μB/f.u.
energy of formation	2732.6	meV per atom
E_tot	-34.198	eV/atom
ρ	8.17	g cm⁻³

DFT (SCAN) results for a PBEsol-optimized structure of Ca3OsRh.

Lattice parameters (Å, degrees): 5.0984 5.0984 5.0984 90.00 90.00 90.00
With the nearest neighbours (Å) after each atom.
Atoms (fractional coordinates):
Rh: 0.0000 0.0000 0.0000  6 Ca 2.55
Ca: 0.0000 0.5000 0.0000  2 Rh 2.55
Ca: 0.0000 0.0000 0.5000  2 Rh 2.55
Ca: 0.5000 0.0000 0.0000  2 Rh 2.55
Os: 0.5000 0.5000 0.5000  12 Ca 3.61

## Properties
total magnetic moment	1.21	μB/f.u.
energy of formation	741.0	meV per atom
E_tot	-26.187	eV/atom
ρ	5.18	g cm⁻³

DFT (SCAN) results for a PBEsol-optimized structure of CsTeS2Cl.

Lattice parameters (Å, degrees): 5.1103 5.1103 5.4589 90.00 90.00 90.00
With the nearest neighbours (Å) after each atom.
Atoms (fractional coordinates):
Cs: 0.5000 0.5000 0.5000  4 Cl 3.61, 8 S 3.74
S: 0.0000 0.5000 0.0000  2 Te 2.56
S: 0.5000 0.0000 0.0000  2 Te 2.56
Te: 0.0000 0.0000 0.0000  4 S 2.56, 2 Cl 2.73
Cl: 0.0000 0.0000 0.5000  2 Te 2.73

## Properties
total magnetic moment	0.00	μB/f.u.
E_tot	-21.126	eV/atom
ρ	4.19	g cm⁻³
energy relative to the elements, uncorrected	-667.0	meV per atom

DFT (SCAN) results for a PBEsol-optimized structure of Nb3FeH.

Lattice parameters (Å, degrees): 4.0846 4.0846 4.0846 90.00 90.00 90.00
With the nearest neighbours (Å) after each atom.
Atoms (fractional coordinates):
H: 0.0000 0.0000 0.0000  6 Nb 2.04
Nb: 0.0000 0.5000 0.0000  2 H 2.04
Nb: 0.0000 0.0000 0.5000  2 H 2.04
Nb: 0.5000 0.0000 0.0000  2 H 2.04
Fe: 0.5000 0.5000 0.5000  12 Nb 2.89

## Properties
total magnetic moment	3.01	μB/f.u.
energy above the lowest structure with this stoichiometry	0	meV per atom
E_tot	-24.065	eV/atom
ρ	8.18	g cm⁻³

DFT (SCAN) results for a PBEsol-optimized structure of Fe2AgMoF.

Lattice parameters (Å, degrees): 4.6631 4.6631 5.0655 90.00 90.00 90.00
With the nearest neighbours (Å) after each atom.
Atoms (fractional coordinates):
Mo: 0.0000 0.0000 0.5000  2 Ag 2.53
Fe: 0.0000 0.5000 0.0000  2 Ag 2.33
Fe: 0.5000 0.0000 0.0000  2 Ag 2.33
Ag: 0.0000 0.0000 0.0000  4 Fe 2.33, 2 Mo 2.53
F: 0.5000 0.5000 0.5000  4 Mo 3.30, 8 Fe 3.44

## Properties
total magnetic moment	10.56	μB/f.u.
E_tot	-19.700	eV/atom
ρ	5.04	g cm⁻³
energy relative to the elements, uncorrected	1510.6	meV per atom

DFT (SCAN) results for a PBEsol-optimized structure of Ni3SbH.

Lattice parameters (Å, degrees): 3.7270 3.7270 3.7270 90.00 90.00 90.00
With the nearest neighbours (Å) after each atom.
Atoms (fractional coordinates):
Sb: 0.5000 0.5000 0.5000  12 Ni 2.64
H: 0.0000 0.0000 0.0000  6 Ni 1.86
Ni: 0.0000 0.5000 0.0000  2 H 1.86
Ni: 0.0000 0.0000 0.5000  2 H 1.86
Ni: 0.5000 0.0000 0.0000  2 H 1.86

## Properties
total magnetic moment	0.00	μB/f.u.
E_tot	-17.932	eV/atom
ρ	9.59	g cm⁻³

DFT (SCAN) results for a PBEsol-optimized structure of CeGaPt.

Lattice parameters (Å, degrees): 4.4043 6.8877 7.7421 90.00 90.00 90.00
With the nearest neighbours (Å) after each atom.
Atoms (fractional coordinates):
Ce: 0.7500 0.0143 0.2963  5 Pt 2.91-3.08, 6 Ga 3.06-3.22
Ce: 0.7500 0.5143 0.2037  5 Pt 2.91-3.08, 6 Ga 3.06-3.22
Ce: 0.2500 0.9857 0.7037  5 Pt 2.91-3.08, 6 Ga 3.06-3.22
Ce: 0.2500 0.4857 0.7963  5 Pt 2.91-3.08, 6 Ga 3.06-3.22
Ga: 0.7500 0.6741 0.5785  4 Pt 2.60-2.76
Ga: 0.7500 0.1741 0.9215  4 Pt 2.60-2.76
Ga: 0.2500 0.3259 0.4215  4 Pt 2.60-2.76
Ga: 0.2500 0.8259 0.0785  4 Pt 2.60-2.76
Pt: 0.7500 0.7737 0.9064  4 Ga 2.60-2.76
Pt: 0.7500 0.2737 0.5936  4 Ga 2.60-2.76
Pt: 0.2500 0.2263 0.0936  4 Ga 2.60-2.76
Pt: 0.2500 0.7263 0.4064  4 Ga 2.60-2.76

## Properties
total magnetic moment	0.84	μB/f.u.
energy of formation	-1193.2	meV per atom
E_tot	-44.894	eV/atom
ρ	11.45	g cm⁻³

DFT (SCAN) results for a PBEsol-optimized structure of YMo2Se.

Lattice parameters (Å, degrees): 4.2627 4.2627 5.5550 67.44 67.44 60.00
With the nearest neighbours (Å) after each atom.
Atoms (fractional coordinates):
Mo: 0.9595 0.9595 0.1215  3 Mo 2.53, 3 Se 2.81
Mo: 0.2541 0.2541 0.2376  3 Mo 2.53, 3 Se 2.58
Se: 0.5360 0.5360 0.3920  6 Mo 2.58-2.81
Y: 0.7513 0.7513 0.7462  4 Se 3.03-3.22, 4 Mo 3.09-3.11

## Properties
total magnetic moment	0.00	μB/f.u.
E_tot	-29.584	eV/atom
ρ	7.62	g cm⁻³
energy relative to the elements, uncorrected	-161.1	meV per atom

DFT (SCAN) results for a PBEsol-optimized structure of InH7N2OF4.

Lattice parameters (Å, degrees): 6.6999 8.5939 9.1918 90.00 90.00 90.00
With the nearest neighbours (Å) after each atom.
Atoms (fractional coordinates):
In: 0.8682 0.7053 0.4513  6 F 2.07-2.19, 1 O 2.18
In: 0.6318 0.2947 0.9513  6 F 2.07-2.19, 1 O 2.18
In: 0.3682 0.7947 0.5487  6 F 2.07-2.19, 1 O 2.18
In: 0.1318 0.2053 0.0487  6 F 2.07-2.19, 1 O 2.18
H: 0.0014 0.4694 0.2583  1 O 1.01
H: 0.4986 0.5306 0.7583  1 O 1.01
H: 0.5014 0.0306 0.7417  1 O 1.01
H: 0.9986 0.9694 0.2417  1 O 1.01
H: 0.7642 0.5001 0.2228  1 O 1.01
H: 0.7358 0.4999 0.7228  1 O 1.01
H: 0.2642 0.9999 0.7772  1 O 1.01
H: 0.2358 0.0001 0.2772  1 O 1.01
H: 0.9558 0.5737 0.9207  1 N 1.03
H: 0.5442 0.4263 0.4207  1 N 1.03
H: 0.4558 0.9263 0.0793  1 N 1.03
H: 0.0442 0.0737 0.5793  1 N 1.03
H: 0.1008 0.6769 0.8149  1 N 1.04
H: 0.3992 0.3231 0.3149  1 N 1.04
H: 0.6008 0.8231 0.1851  1 N 1.04
H: 0.8992 0.1769 0.6851  1 N 1.04
H: 0.7929 0.7837 0.7822  1 N 1.05
H: 0.7071 0.2163 0.2822  1 N 1.05
H: 0.2929 0.7163 0.2178  1 N 1.05
H: 0.2071 0.2837 0.7178  1 N 1.05
H: 0.7438 0.7843 0.9636  1 N 1.06
H: 0.7562 0.2157 0.4636  1 N 1.06
H: 0.2438 0.7157 0.0364  1 N 1.06
H: 0.2562 0.2843 0.5364  1 N 1.06
H: 0.9251 0.9045 0.8911  1 N 1.05
H: 0.5749 0.0955 0.3911  1 N 1.05
H: 0.4251 0.5955 0.1089  1 N 1.05
H: 0.0749 0.4045 0.6089  1 N 1.05
N: 0.0183 0.6832 0.9102  2 H 1.03-1.04
N: 0.4817 0.3168 0.4102  2 H 1.03-1.04
N: 0.5183 0.8168 0.0898  2 H 1.03-1.04
N: 0.9817 0.1832 0.5898  2 H 1.03-1.04
N: 0.8598 0.7932 0.8853  3 H 1.05-1.06
N: 0.6402 0.2068 0.3853  3 H 1.05-1.06
N: 0.3598 0.7068 0.1147  3 H 1.05-1.06
N: 0.1402 0.2932 0.6147  3 H 1.05-1.06
O: 0.8717 0.5116 0.2990  2 H 1.01
O: 0.6283 0.4884 0.7990  2 H 1.01
O: 0.3717 0.9884 0.7010  2 H 1.01
O: 0.1283 0.0116 0.2010  2 H 1.01
F: 0.5564 0.6484 0.4114  1 H 1.91
F: 0.9436 0.3516 0.9114  1 H 1.91
F: 0.0564 0.8516 0.5886  1 H 1.91
F: 0.4436 0.1484 0.0886  1 H 1.91
F: 0.8194 0.8865 0.3073  1 H 1.52
F: 0.6806 0.1135 0.8073  1 H 1.52
F: 0.3194 0.6135 0.6927  1 H 1.52
F: 0.1806 0.3865 0.1927  1 H 1.52
F: 0.8977 0.5340 0.6108  2 H 1.52-1.63
F: 0.6023 0.4660 0.1108  2 H 1.52-1.63
F: 0.3977 0.9660 0.3892  2 H 1.52-1.63
F: 0.1023 0.0340 0.8892  2 H 1.52-1.63
F: 0.6774 0.8125 0.6173  1 H 1.72
F: 0.8226 0.1875 0.1173  1 H 1.72
F: 0.1774 0.6875 0.3827  1 H 1.72
F: 0.3226 0.3125 0.8827  1 H 1.72

## Properties
total magnetic moment	0.04	μB/f.u.
E_tot	-7.716	eV/atom
ρ	3.04	g cm⁻³

DFT (SCAN) results for a PBEsol-optimized structure of LaTa2Tl.

Lattice parameters (Å, degrees): 3.3234 5.1990 6.0764 115.33 105.87 90.00
With the nearest neighbours (Å) after each atom.
Atoms (fractional coordinates):
La: 0.2657 0.7657 0.5314  6 Ta 3.11-3.22, 2 La 3.32, 4 Tl 3.42-3.44
Ta: 0.0287 0.0287 0.0574  2 Ta 2.64
Ta: 0.7249 0.2249 0.4497  2 Ta 2.64
Tl: 0.4807 0.4807 0.9614  6 Ta 3.13-3.15, 2 Tl 3.32, 4 La 3.42-3.44

## Properties
total magnetic moment	0.00	μB/f.u.
energy of formation	481.0	meV per atom
E_tot	-61.676	eV/atom
ρ	12.95	g cm⁻³

Repeat the sixth record exactly.
DFT (SCAN) results for a PBEsol-optimized structure of Ni3SbH.

Lattice parameters (Å, degrees): 3.7270 3.7270 3.7270 90.00 90.00 90.00
With the nearest neighbours (Å) after each atom.
Atoms (fractional coordinates):
Sb: 0.5000 0.5000 0.5000  12 Ni 2.64
H: 0.0000 0.0000 0.0000  6 Ni 1.86
Ni: 0.0000 0.5000 0.0000  2 H 1.86
Ni: 0.0000 0.0000 0.5000  2 H 1.86
Ni: 0.5000 0.0000 0.0000  2 H 1.86

## Properties
total magnetic moment	0.00	μB/f.u.
E_tot	-17.932	eV/atom
ρ	9.59	g cm⁻³

> The highest E_tot belongs to which entry?

InH7N2OF4

> E_tot of number 1 (InMo2PIr)?

-34.198 eV/atom